VASP calculation (PBE-GGA) on an optimized crystal structure of BeCdGaCo.

## Properties
The value obtained for the electronic total energy is -3.448 eV per atom. For the energy above the most stable polymorph in this dataset, the calculation gives 0 meV per atom.

Cell lengths 6.0014, 6.0014, 6.0014 Å; angles 90.00, 90.00, 90.00 degrees
Space group F-43m (No. 216)
Symmetry-distinct sites (fractional):
Be: 0.0000 0.0000 0.0000 [4 per cell]
Cd: 0.2500 0.2500 0.7500 [4 per cell]
Ga: 0.2500 0.2500 0.2500 [4 per cell]
Co: 0.0000 0.0000 0.5000 [4 per cell]

VASP calculation (PBE-GGA) on an optimized crystal structure of BeCdGaCo.

## Properties
The value obtained for the electronic total energy is -3.439 eV per atom. For the energy above the most stable polymorph in this dataset, the calculation gives 8 meV per atom.

Cell lengths 5.9936, 5.9936, 5.9936 Å; angles 90.00, 90.00, 90.00 degrees
Space group F-43m (No. 216)
Symmetry-distinct sites (fractional):
Be: 0.0000 0.0000 0.0000 [4 per cell]
Cd: 0.2500 0.2500 0.2500 [4 per cell]
Ga: 0.0000 0.0000 0.5000 [4 per cell]
Co: 0.2500 0.2500 0.7500 [4 per cell]

VASP calculation (PBE-GGA) on an optimized crystal structure of BeCdCoGe.

## Properties
The value obtained for the electronic total energy is -3.667 eV per atom. For the energy above the most stable polymorph in this dataset, the calculation gives 38 meV per atom.

Cell lengths 6.0659, 6.0659, 6.0659 Å; angles 90.00, 90.00, 90.00 degrees
Space group F-43m (No. 216)
Symmetry-distinct sites (fractional):
Be: 0.0000 0.0000 0.0000 [4 per cell]
Cd: 0.2500 0.2500 0.2500 [4 per cell]
Co: 0.2500 0.2500 0.7500 [4 per cell]
Ge: 0.0000 0.0000 0.5000 [4 per cell]

VASP calculation (PBE-GGA) on an optimized crystal structure of BeCdCoGe.

## Properties
The value obtained for the electronic total energy is -3.706 eV per atom. For the energy above the most stable polymorph in this dataset, the calculation gives 0 meV per atom.

Cell lengths 6.0447, 6.0447, 6.0447 Å; angles 90.00, 90.00, 90.00 degrees
Space group F-43m (No. 216)
Symmetry-distinct sites (fractional):
Be: 0.0000 0.0000 0.0000 [4 per cell]
Cd: 0.2500 0.2500 0.7500 [4 per cell]
Co: 0.0000 0.0000 0.5000 [4 per cell]
Ge: 0.2500 0.2500 0.2500 [4 per cell]

VASP calculation (PBE-GGA) on an optimized crystal structure of BeCdInCo.

## Properties
The value obtained for the electronic total energy is -3.259 eV per atom. For the energy above the most stable polymorph in this dataset, the calculation gives 0 meV per atom.

Cell lengths 6.2316, 6.2316, 6.2316 Å; angles 90.00, 90.00, 90.00 degrees
Space group F-43m (No. 216)
Symmetry-distinct sites (fractional):
Be: 0.0000 0.0000 0.0000 [4 per cell]
Cd: 0.2500 0.2500 0.7500 [4 per cell]
In: 0.2500 0.2500 0.2500 [4 per cell]
Co: 0.0000 0.0000 0.5000 [4 per cell]

VASP calculation (PBE-GGA) on an optimized crystal structure of BeNbCdCo.

## Properties
The value obtained for the electronic total energy is -5.000 eV per atom. For the energy above the most stable polymorph in this dataset, the calculation gives 370 meV per atom.

Cell lengths 6.1348, 6.1348, 6.1348 Å; angles 90.00, 90.00, 90.00 degrees
Space group F-43m (No. 216)
Symmetry-distinct sites (fractional):
Be: 0.0000 0.0000 0.0000 [4 per cell]
Nb: 0.2500 0.2500 0.2500 [4 per cell]
Cd: 0.0000 0.0000 0.5000 [4 per cell]
Co: 0.2500 0.2500 0.7500 [4 per cell]

VASP calculation (PBE-GGA) on an optimized crystal structure of BeNbCdCo.

## Properties
The value obtained for the electronic total energy is -5.156 eV per atom. For the energy above the most stable polymorph in this dataset, the calculation gives 215 meV per atom.

Cell lengths 6.1359, 6.1359, 6.1359 Å; angles 90.00, 90.00, 90.00 degrees
Space group F-43m (No. 216)
Symmetry-distinct sites (fractional):
Be: 0.0000 0.0000 0.0000 [4 per cell]
Nb: 0.0000 0.0000 0.5000 [4 per cell]
Cd: 0.2500 0.2500 0.2500 [4 per cell]
Co: 0.2500 0.2500 0.7500 [4 per cell]

VASP calculation (PBE-GGA) on an optimized crystal structure of BeNbCdCo.

## Properties
The value obtained for the electronic total energy is -5.370 eV per atom. For the energy above the most stable polymorph in this dataset, the calculation gives 0 meV per atom.

Cell lengths 6.0592, 6.0592, 6.0592 Å; angles 90.00, 90.00, 90.00 degrees
Space group F-43m (No. 216)
Symmetry-distinct sites (fractional):
Be: 0.0000 0.0000 0.0000 [4 per cell]
Nb: 0.2500 0.2500 0.2500 [4 per cell]
Cd: 0.2500 0.2500 0.7500 [4 per cell]
Co: 0.0000 0.0000 0.5000 [4 per cell]

VASP calculation (PBE-GGA) on an optimized crystal structure of BeCdCoPb.

## Properties
The value obtained for the electronic total energy is -3.249 eV per atom. For the energy above the most stable polymorph in this dataset, the calculation gives 0 meV per atom.

Cell lengths 6.4314, 6.4314, 6.4314 Å; angles 90.00, 90.00, 90.00 degrees
Space group F-43m (No. 216)
Symmetry-distinct sites (fractional):
Be: 0.0000 0.0000 0.0000 [4 per cell]
Cd: 0.2500 0.2500 0.7500 [4 per cell]
Co: 0.0000 0.0000 0.5000 [4 per cell]
Pb: 0.2500 0.2500 0.2500 [4 per cell]

VASP calculation (PBE-GGA) on an optimized crystal structure of BeCdCoSb.

## Properties
The value obtained for the electronic total energy is -3.473 eV per atom. For the energy above the most stable polymorph in this dataset, the calculation gives 0 meV per atom.

Cell lengths 6.3339, 6.3339, 6.3339 Å; angles 90.00, 90.00, 90.00 degrees
Space group F-43m (No. 216)
Symmetry-distinct sites (fractional):
Be: 0.0000 0.0000 0.0000 [4 per cell]
Cd: 0.2500 0.2500 0.7500 [4 per cell]
Co: 0.0000 0.0000 0.5000 [4 per cell]
Sb: 0.2500 0.2500 0.2500 [4 per cell]

VASP calculation (PBE-GGA) on an optimized crystal structure of BeCdCoSi.

## Properties
The value obtained for the electronic total energy is -3.946 eV per atom. For the energy above the most stable polymorph in this dataset, the calculation gives 15 meV per atom.

Cell lengths 5.8892, 5.8892, 5.8892 Å; angles 90.00, 90.00, 90.00 degrees
Space group F-43m (No. 216)
Symmetry-distinct sites (fractional):
Be: 0.0000 0.0000 0.0000 [4 per cell]
Cd: 0.2500 0.2500 0.2500 [4 per cell]
Co: 0.2500 0.2500 0.7500 [4 per cell]
Si: 0.0000 0.0000 0.5000 [4 per cell]

VASP calculation (PBE-GGA) on an optimized crystal structure of BeCdCoSi.

## Properties
The value obtained for the electronic total energy is -3.962 eV per atom. For the energy above the most stable polymorph in this dataset, the calculation gives 0 meV per atom.

Cell lengths 5.9001, 5.9001, 5.9001 Å; angles 90.00, 90.00, 90.00 degrees
Space group F-43m (No. 216)
Symmetry-distinct sites (fractional):
Be: 0.0000 0.0000 0.0000 [4 per cell]
Cd: 0.2500 0.2500 0.7500 [4 per cell]
Co: 0.0000 0.0000 0.5000 [4 per cell]
Si: 0.2500 0.2500 0.2500 [4 per cell]

VASP calculation (PBE-GGA) on an optimized crystal structure of BeZnCdCo.

## Properties
The value obtained for the electronic total energy is -2.984 eV per atom. For the energy above the most stable polymorph in this dataset, the calculation gives 34 meV per atom.

Cell lengths 5.9564, 5.9564, 5.9564 Å; angles 90.00, 90.00, 90.00 degrees
Space group F-43m (No. 216)
Symmetry-distinct sites (fractional):
Be: 0.0000 0.0000 0.0000 [4 per cell]
Zn: 0.2500 0.2500 0.2500 [4 per cell]
Cd: 0.2500 0.2500 0.7500 [4 per cell]
Co: 0.0000 0.0000 0.5000 [4 per cell]

VASP calculation (PBE-GGA) on an optimized crystal structure of BeZnCdCo.

## Properties
The value obtained for the electronic total energy is -3.019 eV per atom. For the energy above the most stable polymorph in this dataset, the calculation gives 0 meV per atom.

Cell lengths 5.9384, 5.9384, 5.9384 Å; angles 90.00, 90.00, 90.00 degrees
Space group F-43m (No. 216)
Symmetry-distinct sites (fractional):
Be: 0.0000 0.0000 0.0000 [4 per cell]
Zn: 0.0000 0.0000 0.5000 [4 per cell]
Cd: 0.2500 0.2500 0.2500 [4 per cell]
Co: 0.2500 0.2500 0.7500 [4 per cell]

VASP calculation (PBE-GGA) on an optimized crystal structure of CsBeCd.

## Properties
The value obtained for the electronic total energy is -0.868 eV per atom. For the energy above the most stable polymorph in this dataset, the calculation gives 85 meV per atom.

Cell lengths 7.9499, 7.9499, 7.9499 Å; angles 90.00, 90.00, 90.00 degrees
Space group F-43m (No. 216)
Symmetry-distinct sites (fractional):
Cs: 0.0000 0.0000 0.0000 [4 per cell]
Be: 0.0000 0.0000 0.5000 [4 per cell]
Cd: 0.2500 0.2500 0.7500 [4 per cell]

VASP calculation (PBE-GGA) on an optimized crystal structure of CsBeCd.

## Properties
The value obtained for the electronic total energy is -0.953 eV per atom. For the energy above the most stable polymorph in this dataset, the calculation gives 0 meV per atom.

Cell lengths 7.7330, 7.7330, 7.7330 Å; angles 90.00, 90.00, 90.00 degrees
Space group F-43m (No. 216)
Symmetry-distinct sites (fractional):
Cs: 0.0000 0.0000 0.0000 [4 per cell]
Be: 0.2500 0.2500 0.7500 [4 per cell]
Cd: 0.0000 0.0000 0.5000 [4 per cell]

VASP calculation (PBE-GGA) on an optimized crystal structure of BeCd2Cu.

## Properties
The value obtained for the electronic total energy is -1.978 eV per atom.

Cell lengths 6.2633, 6.2633, 6.2633 Å; angles 90.00, 90.00, 90.00 degrees
Space group F-43m (No. 216)
Symmetry-distinct sites (fractional):
Be: 0.0000 0.0000 0.0000 [4 per cell]
Cd: 0.0000 0.0000 0.5000 [4 per cell]
Cd: 0.2500 0.2500 0.7500 [4 per cell]
Cu: 0.2500 0.2500 0.2500 [4 per cell]

VASP calculation (PBE-GGA) on an optimized crystal structure of Be2CdCu.

## Properties
The value obtained for the electronic total energy is -2.699 eV per atom.

Cell lengths 5.8464, 5.8464, 5.8464 Å; angles 90.00, 90.00, 90.00 degrees
Space group F-43m (No. 216)
Symmetry-distinct sites (fractional):
Be: 0.0000 0.0000 0.0000 [4 per cell]
Be: 0.2500 0.2500 0.2500 [4 per cell]
Cd: 0.2500 0.2500 0.7500 [4 per cell]
Cu: 0.0000 0.0000 0.5000 [4 per cell]

VASP calculation (PBE-GGA) on an optimized crystal structure of BeCdCuGe.

## Properties
The value obtained for the electronic total energy is -2.748 eV per atom. For the energy above the most stable polymorph in this dataset, the calculation gives 82 meV per atom.

Cell lengths 6.3366, 6.3366, 6.3366 Å; angles 90.00, 90.00, 90.00 degrees
Space group F-43m (No. 216)
Symmetry-distinct sites (fractional):
Be: 0.0000 0.0000 0.0000 [4 per cell]
Cd: 0.2500 0.2500 0.2500 [4 per cell]
Cu: 0.2500 0.2500 0.7500 [4 per cell]
Ge: 0.0000 0.0000 0.5000 [4 per cell]

VASP calculation (PBE-GGA) on an optimized crystal structure of BeCdCuGe.

## Properties
The value obtained for the electronic total energy is -2.830 eV per atom. For the energy above the most stable polymorph in this dataset, the calculation gives 0 meV per atom.

Cell lengths 6.2888, 6.2888, 6.2888 Å; angles 90.00, 90.00, 90.00 degrees
Space group F-43m (No. 216)
Symmetry-distinct sites (fractional):
Be: 0.0000 0.0000 0.0000 [4 per cell]
Cd: 0.2500 0.2500 0.7500 [4 per cell]
Cu: 0.0000 0.0000 0.5000 [4 per cell]
Ge: 0.2500 0.2500 0.2500 [4 per cell]

VASP calculation (PBE-GGA) on an optimized crystal structure of BeCdCuSi.

## Properties
The value obtained for the electronic total energy is -2.888 eV per atom. For the energy above the most stable polymorph in this dataset, the calculation gives 78 meV per atom.

Cell lengths 6.1960, 6.1960, 6.1960 Å; angles 90.00, 90.00, 90.00 degrees
Space group F-43m (No. 216)
Symmetry-distinct sites (fractional):
Be: 0.0000 0.0000 0.0000 [4 per cell]
Cd: 0.2500 0.2500 0.2500 [4 per cell]
Cu: 0.2500 0.2500 0.7500 [4 per cell]
Si: 0.0000 0.0000 0.5000 [4 per cell]

VASP calculation (PBE-GGA) on an optimized crystal structure of BeCdCuSi.

## Properties
The value obtained for the electronic total energy is -2.966 eV per atom. For the energy above the most stable polymorph in this dataset, the calculation gives 0 meV per atom.

Cell lengths 6.1538, 6.1538, 6.1538 Å; angles 90.00, 90.00, 90.00 degrees
Space group F-43m (No. 216)
Symmetry-distinct sites (fractional):
Be: 0.0000 0.0000 0.0000 [4 per cell]
Cd: 0.2500 0.2500 0.7500 [4 per cell]
Cu: 0.0000 0.0000 0.5000 [4 per cell]
Si: 0.2500 0.2500 0.2500 [4 per cell]

VASP calculation (PBE-GGA) on an optimized crystal structure of BeCdCuSn.

## Properties
The value obtained for the electronic total energy is -2.552 eV per atom. For the energy above the most stable polymorph in this dataset, the calculation gives 120 meV per atom.

Cell lengths 6.5991, 6.5991, 6.5991 Å; angles 90.00, 90.00, 90.00 degrees
Space group F-43m (No. 216)
Symmetry-distinct sites (fractional):
Be: 0.0000 0.0000 0.0000 [4 per cell]
Cd: 0.2500 0.2500 0.2500 [4 per cell]
Cu: 0.2500 0.2500 0.7500 [4 per cell]
Sn: 0.0000 0.0000 0.5000 [4 per cell]

VASP calculation (PBE-GGA) on an optimized crystal structure of BeCdCuSn.

## Properties
The value obtained for the electronic total energy is -2.672 eV per atom. For the energy above the most stable polymorph in this dataset, the calculation gives 0 meV per atom.

Cell lengths 6.5187, 6.5187, 6.5187 Å; angles 90.00, 90.00, 90.00 degrees
Space group F-43m (No. 216)
Symmetry-distinct sites (fractional):
Be: 0.0000 0.0000 0.0000 [4 per cell]
Cd: 0.2500 0.2500 0.7500 [4 per cell]
Cu: 0.0000 0.0000 0.5000 [4 per cell]
Sn: 0.2500 0.2500 0.2500 [4 per cell]

VASP calculation (PBE-GGA) on an optimized crystal structure of BeZnCdCu.

## Properties
The value obtained for the electronic total energy is -2.196 eV per atom. For the energy above the most stable polymorph in this dataset, the calculation gives 9 meV per atom.

Cell lengths 6.0462, 6.0462, 6.0462 Å; angles 90.00, 90.00, 90.00 degrees
Space group F-43m (No. 216)
Symmetry-distinct sites (fractional):
Be: 0.0000 0.0000 0.0000 [4 per cell]
Zn: 0.0000 0.0000 0.5000 [4 per cell]
Cd: 0.2500 0.2500 0.2500 [4 per cell]
Cu: 0.2500 0.2500 0.7500 [4 per cell]

VASP calculation (PBE-GGA) on an optimized crystal structure of BeZnCdCu.

## Properties
The value obtained for the electronic total energy is -2.205 eV per atom. For the energy above the most stable polymorph in this dataset, the calculation gives 0 meV per atom.

Cell lengths 6.0466, 6.0466, 6.0466 Å; angles 90.00, 90.00, 90.00 degrees
Space group F-43m (No. 216)
Symmetry-distinct sites (fractional):
Be: 0.0000 0.0000 0.0000 [4 per cell]
Zn: 0.2500 0.2500 0.2500 [4 per cell]
Cd: 0.2500 0.2500 0.7500 [4 per cell]
Cu: 0.0000 0.0000 0.5000 [4 per cell]